Entry from Alexandria: crystalline SbPbWO6 at its relaxed geometry (GGA+U).

Unit cell a=4.943 b=4.943 c=10.018 alpha=90.00 beta=90.00 gamma=90.00
Positions (direct):
O 0.674 0.674 0.997
O 0.210 0.790 0.817
O 0.710 0.710 0.317
O 0.174 0.826 0.497
O 0.294 0.294 0.686
O 0.206 0.794 0.186
O 0.826 0.174 0.497
O 0.790 0.210 0.817
O 0.794 0.206 0.186
O 0.706 0.706 0.686
O 0.326 0.326 0.997
O 0.290 0.290 0.317
Pb 0.000 0.000 0.000
Pb 0.500 0.500 0.500
W 0.000 0.000 0.669
W 0.500 0.500 0.169
Sb 0.000 0.000 0.333
Sb 0.500 0.500 0.833

Properties
**Calculated total energy**: -0.235 hartree per atom